# 1
Material: CaBeRe2
Method: DFT, GGA-PBEsol
State: relaxed

Cell lengths 3.077, 3.077, 6.756 Å; angles 90.00, 90.00, 90.00 degrees
Atoms (fractional coordinates):
Ca  0.000  0.000  0.000
Be  0.000  0.000  0.500
Re  0.500  0.500  0.330
Re  0.500  0.500  0.670

Computed properties:
Magnetization ... 0.0 μB per formula unit
SG ... P4/mmm
Crystal system ... tetragonal
V ... 64 Å³ per cell
DFT formation energy ... 486 meV per atom
Uncorrected energy ... -7.71 eV per atom

=====

# 2
Material: ScHgRh2
Method: DFT, GGA-PBEsol
State: relaxed

Cell lengths 8.779, 8.779, 8.779 Å; angles 19.58, 19.58, 19.58 degrees
Atoms (fractional coordinates):
Sc  0.000  0.000  0.000
Hg  0.500  0.500  0.500
Rh  0.256  0.256  0.256
Rh  0.744  0.744  0.744

Computed properties:
Magnetization ... 0.0 μB per formula unit
SG ... R-3m
Crystal system ... trigonal
V ... 66 Å³ per cell
DFT formation energy ... -240 meV per atom
Uncorrected energy ... -6.10 eV per atom

=====

# 3
Material: Cr2NiIr
Method: DFT, GGA-PBEsol
State: relaxed

Cell lengths 4.381, 4.381, 4.381 Å; angles 130.77, 130.77, 72.17 degrees
Atoms (fractional coordinates):
Cr  0.000  0.000  0.000
Cr  0.750  0.250  0.500
Ni  0.250  0.750  0.500
Ir  0.500  0.500  0.000

Computed properties:
Magnetization ... 0.5 μB per formula unit
SG ... I-4m2
Crystal system ... tetragonal
V ... 47 Å³ per cell
DFT formation energy ... -39 meV per atom
Uncorrected energy ... -9.15 eV per atom

=====

# 4
Material: KRb2TaNb
Method: DFT, GGA-PBEsol
State: relaxed

Cell lengths 5.602, 5.602, 5.856 Å; angles 90.00, 90.00, 90.00 degrees
Atoms (fractional coordinates):
K  0.000  0.000  0.000
Rb  0.000  0.500  0.000
Rb  0.500  0.000  0.000
Ta  0.500  0.500  0.500
Nb  0.000  0.000  0.500

Computed properties:
Magnetization ... 0.4 μB per formula unit
SG ... P4/mmm
Crystal system ... tetragonal
V ... 184 Å³ per cell
DFT formation energy ... 2574 meV per atom
Uncorrected energy ... -2.74 eV per atom

=====

# 5
Material: KScAgB2
Method: DFT, GGA-PBEsol
State: relaxed

Cell lengths 4.659, 4.659, 5.312 Å; angles 90.00, 90.00, 90.00 degrees
Atoms (fractional coordinates):
K  0.000  0.000  0.000
Sc  0.500  0.500  0.500
Ag  0.500  0.500  0.000
B  0.000  0.500  0.500
B  0.500  0.000  0.500

Computed properties:
Magnetization ... 1.1 μB per formula unit
SG ... P4/mmm
Crystal system ... tetragonal
V ... 115 Å³ per cell
DFT formation energy ... 1388 meV per atom
Uncorrected energy ... -3.63 eV per atom

=====

# 6
Material: InP4Rh
Method: DFT, GGA-PBEsol
State: relaxed

Cell lengths 5.081, 5.081, 5.081 Å; angles 60.00, 60.00, 60.00 degrees
Atoms (fractional coordinates):
In  0.000  0.000  0.000
P  0.375  0.375  0.375
P  0.375  0.375  0.874
P  0.375  0.874  0.375
P  0.874  0.375  0.375
Rh  0.750  0.750  0.750

Computed properties:
Magnetization ... 0.0 μB per formula unit
SG ... F-43m
Crystal system ... cubic
V ... 93 Å³ per cell
DFT formation energy ... 577 meV per atom
Uncorrected energy ... -5.14 eV per atom

=====

# 7
Material: SmHoMg2
Method: DFT, GGA-PBEsol
State: relaxed

Cell lengths 5.314, 5.314, 5.314 Å; angles 60.00, 60.00, 60.00 degrees
Atoms (fractional coordinates):
Sm  0.000  0.000  0.000
Ho  0.500  0.500  0.500
Mg  0.250  0.250  0.250
Mg  0.750  0.750  0.750

Computed properties:
Magnetization ... 0.0 μB per formula unit
SG ... Fm-3m
Crystal system ... cubic
V ... 106 Å³ per cell
DFT formation energy ... -78 meV per atom
Uncorrected energy ... -3.45 eV per atom

=====

# 8
Material: SrCa2Se
Method: DFT, GGA-PBEsol
State: relaxed

Cell lengths 10.548, 10.548, 10.548 Å; angles 22.09, 22.09, 22.09 degrees
Atoms (fractional coordinates):
Sr  0.000  0.000  0.000
Ca  0.223  0.223  0.223
Ca  0.777  0.777  0.777
Se  0.500  0.500  0.500

Computed properties:
Magnetization ... 0.0 μB per formula unit
Formation energy (no corrections) ... -0.92 eV per atom
SG ... R-3m
Crystal system ... trigonal
V ... 146 Å³ per cell
Uncorrected energy ... -3.41 eV per atom